Material: Mg2NbZn
Method: DFT, PBE
State: relaxed

Results
Mass density, g cm⁻³: 4.4
Formation energy, eV per formula unit: 2.01
Magnetization, μB/f.u.: 0.99

Cell: 7.505 7.505 5.580 Å, 90.00 90.00 90.00°
Space group I-42d (No. 122)
Symmetry-distinct sites (fractional):
1 Mg 0.218 0.750 0.125 [8 per cell]
2 Nb 0.000 0.000 0.500 [4 per cell]
3 Zn 0.000 0.000 0.000 [4 per cell]

Material: Ac3La5
Method: DFT, PBE
State: relaxed

Results
Mass density, g cm⁻³: 7.2
Formation energy, eV per formula unit: 0.17
Magnetization, μB/f.u.: 0.00
Distance to the lowest polymorph of the same formula, eV/f.u.: 0.02

Cell: 3.844 3.844 21.561 Å, 90.00 90.00 90.00°
Space group P4/mmm (No. 123)
Symmetry-distinct sites (fractional):
1 Ac 0.000 0.000 0.000 [1 per cell]
2 Ac 0.500 0.500 0.373 [2 per cell]
3 La 0.000 0.000 0.245 [2 per cell]
4 La 0.000 0.000 0.500 [1 per cell]
5 La 0.500 0.500 0.127 [2 per cell]

Please write out number 1 again, unchanged.
Material: Mg2NbZn
Method: DFT, PBE
State: relaxed

Results
Mass density, g cm⁻³: 4.4
Formation energy, eV per formula unit: 2.01
Magnetization, μB/f.u.: 0.99

Cell: 7.505 7.505 5.580 Å, 90.00 90.00 90.00°
Space group I-42d (No. 122)
Symmetry-distinct sites (fractional):
1 Mg 0.218 0.750 0.125 [8 per cell]
2 Nb 0.000 0.000 0.500 [4 per cell]
3 Zn 0.000 0.000 0.000 [4 per cell]

Q: Which value of formation energy does entry 2 give?
A: 0.17 eV per formula unit

Q: Among the records above, which one has the highest magnetization?
A: Mg2NbZn

Q: Number 1 is which compound?
A: Mg2NbZn